# 1
Material: Zr2CuAg
Method: DFT, PBE-GGA
State: relaxed

Cell lengths 5.598, 5.598, 5.021 Å; angles 67.05, 67.05, 31.97 degrees
Element x y z (fractional)
1 Zr 0.754 0.754 0.713
2 Zr 0.983 0.983 0.058
3 Cu 0.239 0.239 0.209
4 Ag 0.524 0.524 0.520

## Properties
The value obtained for the density of states at the Fermi level is 4.04 states/eV per cell. Its formation energy is 10 meV per atom. The excess energy over the best structure of this formula in the dataset is 116 meV/atom.

***

# 2
Material: ZrCuAg3
Method: DFT, PBE-GGA
State: relaxed

Cell lengths 4.729, 4.729, 4.729 Å; angles 90.00, 90.00, 90.00 degrees
Site moments in Bohr magnetons follow the coordinates.
Element x y z (fractional)
1 Ag 0.000 0.500 0.000  0.02
2 Ag 0.500 0.000 0.000  0.04
3 Ag 0.000 0.000 0.500  0.01
4 Zr 0.500 0.500 0.500  0.75
5 Cu 0.000 0.000 0.000  0.03

## Properties
The value obtained for the density of states at the Fermi level is 4.69 states/eV per cell. Its formation energy is 634 meV per atom. The excess energy over the best structure of this formula in the dataset is 0 meV/atom.

***

# 3
Material: Zr2CuAg
Method: DFT, PBE-GGA
State: relaxed

Cell lengths 9.766, 9.766, 9.766 Å; angles 17.93, 17.93, 17.93 degrees
Element x y z (fractional)
1 Zr 0.494 0.494 0.494
2 Zr 0.006 0.006 0.006
3 Cu 0.750 0.750 0.750
4 Ag 0.250 0.250 0.250

## Properties
The value obtained for the density of states at the Fermi level is 5.74 states/eV per cell. Its formation energy is 134 meV per atom. The excess energy over the best structure of this formula in the dataset is 240 meV/atom.

***

# 4
Material: Zr2Cu2Ag
Method: DFT, PBE-GGA
State: relaxed

Cell lengths 7.104, 7.104, 3.522 Å; angles 90.00, 90.00, 90.00 degrees
Element x y z (fractional)
1 Zr 0.331 0.169 0.500
2 Zr 0.831 0.331 0.500
3 Zr 0.669 0.831 0.500
4 Zr 0.169 0.669 0.500
5 Cu 0.626 0.126 0.000
6 Cu 0.374 0.874 0.000
7 Cu 0.126 0.374 0.000
8 Cu 0.874 0.626 0.000
9 Ag 0.000 0.000 0.000
10 Ag 0.500 0.500 0.000

## Properties
The value obtained for the density of states at the Fermi level is 12.45 states/eV per cell. Its formation energy is -100 meV per atom. The excess energy over the best structure of this formula in the dataset is 0 meV/atom.

***

# 5
Material: ZrCuAg
Method: DFT, PBE-GGA
State: relaxed

Cell lengths 4.364, 4.364, 4.364 Å; angles 60.00, 60.00, 60.00 degrees
Element x y z (fractional)
1 Zr 0.000 0.000 0.000
2 Cu 0.750 0.750 0.750
3 Ag 0.500 0.500 0.500

## Properties
The value obtained for the density of states at the Fermi level is 3.98 states/eV per cell. Its formation energy is 196 meV per atom. The excess energy over the best structure of this formula in the dataset is 266 meV/atom.

***

# 6
Material: ZrCuAg2
Method: DFT, PBE-GGA
State: relaxed

Cell lengths 5.074, 5.811, 2.827 Å; angles 77.66, 86.13, 114.84 degrees
Element x y z (fractional)
1 Ag 0.500 0.000 0.500
2 Ag 0.000 0.000 0.000
3 Cu 0.000 0.500 0.500
4 Zr 0.500 0.500 0.000

## Properties
The value obtained for the density of states at the Fermi level is 1.98 states/eV per cell. Its formation energy is 184 meV per atom. The excess energy over the best structure of this formula in the dataset is 192 meV/atom.

***

# 7
Material: ZrCuAg
Method: DFT, PBE-GGA
State: relaxed

Cell lengths 4.506, 4.506, 4.506 Å; angles 60.00, 60.00, 60.00 degrees
Element x y z (fractional)
1 Zr 0.750 0.750 0.750
2 Ag 0.000 0.000 0.000
3 Cu 0.500 0.500 0.500

## Properties
The value obtained for the density of states at the Fermi level is 2.83 states/eV per cell. Its formation energy is 525 meV per atom. The excess energy over the best structure of this formula in the dataset is 595 meV/atom.

***

# 8
Material: ZrCuAg
Method: DFT, PBE-GGA
State: relaxed

Cell lengths 3.599, 4.966, 6.421 Å; angles 100.84, 106.27, 90.00 degrees
Element x y z (fractional)
1 Ag 0.566 0.780 0.133
2 Ag 0.434 0.220 0.867
3 Zr 0.871 0.686 0.742
4 Zr 0.129 0.314 0.258
5 Cu 0.231 0.836 0.462
6 Cu 0.769 0.164 0.538

## Properties
The value obtained for the density of states at the Fermi level is 5.75 states/eV per cell. Its formation energy is -6 meV per atom. The excess energy over the best structure of this formula in the dataset is 64 meV/atom.